1.
Here is LiTbPmGe after structural relaxation from the Alexandria database. Energies are from PBE.

## Properties
Electronic total energy = -4.40 eV per atom
Size of the total moment = 0.0 μB per formula unit
Energy of formation = -0.422 eV/atom
Calculated volume = 23.4 Å³ per atom

a = 5.099 Å, b = 5.099 Å, c = 5.099 Å
α = 60.00°, β = 60.00°, γ = 60.00°
Sites, in units of the cell vectors:
Pm: 0.500 0.500 0.500
Ge: 0.250 0.250 0.250
Tb: 0.000 0.000 0.000
Li: 0.750 0.750 0.750



2.
Here is LiPmTcGe2 after structural relaxation from the Alexandria database. Energies are from PBE.

## Properties
Electronic total energy = -5.67 eV per atom
Size of the total moment = 0.7 μB per formula unit
Energy of formation = -0.415 eV/atom
Calculated volume = 18.7 Å³ per atom

a = 4.133 Å, b = 4.133 Å, c = 6.214 Å
α = 109.43°, β = 109.43°, γ = 90.00°
Last column: magnetic moment on the atom in μB.
Sites, in units of the cell vectors:
Pm: 0.000 0.000 0.000  0.04
Ge: 0.622 0.622 0.243  0.00
Tc: 0.250 0.750 0.500  0.53
Ge: 0.378 0.378 0.757  0.00
Li: 0.750 0.250 0.500  0.00



3.
Here is LiPm2TcGe6 after structural relaxation from the Alexandria database. Energies are from PBE.

## Properties
Electronic total energy = -5.29 eV per atom
Size of the total moment = 0.0 μB per formula unit
Energy of formation = -0.338 eV/atom
Calculated volume = 20.0 Å³ per atom

a = 6.243 Å, b = 6.243 Å, c = 12.366 Å
α = 75.38°, β = 75.38°, γ = 60.00°
Sites, in units of the cell vectors:
Ge: 0.663 0.065 0.608
Ge: 0.343 0.768 0.120
Li: 0.428 0.428 0.716
Pm: 0.111 0.111 0.667
Ge: 0.232 0.232 0.880
Ge: 0.065 0.663 0.608
Ge: 0.232 0.657 0.880
Ge: 0.768 0.343 0.120
Ge: 0.337 0.337 0.392
Tc: 0.000 0.000 0.000
Ge: 0.663 0.663 0.608
Pm: 0.710 0.710 0.871
Ge: 0.657 0.232 0.880
Ge: 0.768 0.768 0.120
Ge: 0.935 0.337 0.392
Li: 0.572 0.572 0.284
Pm: 0.889 0.889 0.333
Pm: 0.290 0.290 0.129
Tc: 0.500 0.500 0.500
Ge: 0.337 0.935 0.392



4.
Here is Li2PmThGe2 after structural relaxation from the Alexandria database. Energies are from PBE.

## Properties
Electronic total energy = -4.83 eV per atom
Size of the total moment = 0.0 μB per formula unit
Energy of formation = -0.621 eV/atom
Calculated volume = 21.6 Å³ per atom

a = 4.495 Å, b = 4.495 Å, c = 7.410 Å
α = 90.00°, β = 90.00°, γ = 120.00°
Sites, in units of the cell vectors:
Th: 0.000 0.000 0.500
Li: 0.667 0.333 0.231
Li: 0.333 0.667 0.769
Ge: 0.333 0.667 0.253
Ge: 0.667 0.333 0.747
Pm: 0.000 0.000 0.000